DFT (PBE) results for a geometry-optimized Tb2Nd2Pd3 structure.

It has space group P-1 (No. 2), with a = 4.174 Å, b = 6.982 Å, c = 7.263 Å, α = 98.90°, β = 90.17° and γ = 107.30°. Symmetry generates all atoms from Tb at (0.129, 0.260, 0.398), Nd at (0.370, 0.746, 0.132), Pd at (0.260, 0.515, 0.755) and Pd at (0.500, 0.000, 0.500).

The density of states at the Fermi level comes out at 5.5 states/eV/cell. For the total energy, the calculation gives -38.504 eV per cell. The value obtained for the density is 7.71 g/cm3.